1.
{
  "formula": "ZrAlPb2N",
  "functional": "meta-GGA SCAN",
  "state": "single point on PBEsol structure",
  "lattice_angstrom": [[5.045, 0.000, 0.000], [0.000, 5.045, 0.000], [0.000, 0.000, 4.233]],
  "species": ["Zr", "Al", "Pb", "Pb", "N"],
  "fractional_positions": [[0.000, 0.000, 0.000], [0.500, 0.500, 0.000], [0.000, 0.500, 0.500], [0.500, 0.000, 0.500], [0.000, 0.000, 0.500]],
  "raw_formation_energy_ev_per_atom": 0.0875,
  "spacegroup": "P4/mmm (123)",
  "magmom_total_mub_per_atom": 0.00
}



2.
{
  "formula": "AlPd2N",
  "functional": "meta-GGA SCAN",
  "state": "single point on PBEsol structure",
  "lattice_angstrom": [[0.000, 2.923, 2.923], [2.923, 0.000, 2.923], [2.923, 2.923, 0.000]],
  "species": ["Al", "Pd", "Pd", "N"],
  "fractional_positions": [[0.000, 0.000, 0.000], [0.250, 0.250, 0.250], [0.750, 0.750, 0.750], [0.500, 0.500, 0.500]],
  "raw_formation_energy_ev_per_atom": 0.4126,
  "spacegroup": "Fm-3m (225)",
  "magmom_total_mub_per_atom": 0.35
}



3.
{
  "formula": "Al3PdN",
  "functional": "meta-GGA SCAN",
  "state": "single point on PBEsol structure",
  "lattice_angstrom": [[4.640, 0.000, 0.000], [0.000, 4.640, 0.000], [0.000, 0.000, 4.640]],
  "species": ["Al", "Al", "Al", "Pd", "N"],
  "fractional_positions": [[0.000, 0.000, 0.500], [0.000, 0.500, 0.000], [0.500, 0.000, 0.000], [0.000, 0.000, 0.000], [0.500, 0.500, 0.500]],
  "raw_formation_energy_ev_per_atom": 0.6790,
  "spacegroup": "Pm-3m (221)",
  "magmom_total_mub_per_atom": 0.40
}



4.
{
  "formula": "AlPdS2N",
  "functional": "meta-GGA SCAN",
  "state": "single point on PBEsol structure",
  "lattice_angstrom": [[4.819, 0.000, 0.000], [0.000, 4.819, 0.000], [0.000, 0.000, 3.607]],
  "species": ["Al", "Pd", "S", "S", "N"],
  "fractional_positions": [[0.000, 0.000, 0.000], [0.500, 0.500, 0.500], [0.000, 0.500, 0.500], [0.500, 0.000, 0.500], [0.500, 0.500, 0.000]],
  "raw_formation_energy_ev_per_atom": 0.6731,
  "spacegroup": "P4/mmm (123)",
  "magmom_total_mub_per_atom": 0.00
}



5.
{
  "formula": "AlTlPtN2",
  "functional": "meta-GGA SCAN",
  "state": "single point on PBEsol structure",
  "lattice_angstrom": [[4.109, 0.000, 0.000], [0.000, 4.109, 0.000], [0.000, 0.000, 5.416]],
  "species": ["Al", "Tl", "Pt", "N", "N"],
  "fractional_positions": [[0.000, 0.000, 0.000], [0.500, 0.500, 0.500], [0.500, 0.500, 0.000], [0.000, 0.500, 0.500], [0.500, 0.000, 0.500]],
  "raw_formation_energy_ev_per_atom": 1.8524,
  "spacegroup": "P4/mmm (123)",
  "magmom_total_mub_per_atom": 0.59
}



6.
{
  "formula": "Rb2AlRuN",
  "functional": "meta-GGA SCAN",
  "state": "single point on PBEsol structure",
  "lattice_angstrom": [[6.769, 0.000, 0.000], [0.000, 6.769, 0.000], [0.000, 0.000, 3.416]],
  "species": ["Rb", "Rb", "Al", "Ru", "N"],
  "fractional_positions": [[0.000, 0.500, 0.000], [0.500, 0.000, 0.000], [0.000, 0.000, 0.000], [0.500, 0.500, 0.500], [0.000, 0.000, 0.500]],
  "raw_formation_energy_ev_per_atom": 0.8209,
  "spacegroup": "P4/mmm (123)",
  "magmom_total_mub_per_atom": 0.48
}